First-principles (PBE) data for SrTa3Ir after structural relaxation, as listed in Alexandria via LeMat-Bulk.

The distance to the lowest polymorph of the same formula comes out at 2195 meV per atom. For the total energy, the calculation gives -0.2261 Ha/atom. The value obtained for the energy of formation from the pure elements is 3.07 eV/atom. The value obtained for the total magnetic moment is 0.000 μB/atom. For the volume, the calculation gives 21.2 A^3/atom.

The space group is Pm-3m (No. 221) and the conventional cell measures 4.729, 4.729 and 4.729 Å, with angles of 90.00, 90.00 and 90.00 degrees. The asymmetric unit holds Sr at (0.000, 0.000, 0.000), Ta at (0.000, 0.000, 0.500) and Ir at (0.500, 0.500, 0.500).